La2AsCF after structural relaxation, computed with PBE-GGA.

Structure (extended XYZ):
```
5
Lattice="5.179 0.000 0.000 0.000 4.067 0.000 0.000 0.000 5.179" Properties=species:S:1:pos:R:3 pbc="T T T"
C 0.000 0.000 0.000
F 0.000 2.034 0.000
La 0.000 0.000 2.589
La 2.589 0.000 0.000
As 2.589 2.034 2.589
```

total DFT energy (no corrections) = -5.86 eV/atom
symmetry = No. 123